# KCd2Au PBE-GGA relaxed
# **E**: -0.0595 hartree per atom
# **Formation energy from the elements**: -67 meV/atom
# **ρ**: 5.2 g/cm3
data_KCd2Au
_chemical_formula_sum 'K2 Cd4 Au2'
_cell_length_a 5.496
_cell_length_b 5.496
_cell_length_c 10.434
_cell_angle_alpha 74.73
_cell_angle_beta 74.73
_cell_angle_gamma 90.00
_space_group_name_H-M_alt 'P 1'
_space_group_IT_number 1
loop_
_space_group_symop_operation_xyz
'x,y,z'
loop_
_atom_site_label
_atom_site_fract_x
_atom_site_fract_y
_atom_site_fract_z
K1 0.250 0.750 0.500
Cd1 0.873 0.625 0.250
Cd2 0.875 0.127 0.750
Au1 0.000 0.000 0.000
Cd3 0.375 0.123 0.750
K2 0.500 0.500 0.000
Au2 0.750 0.250 0.500
Cd4 0.877 0.125 0.250